Below is Pm2YPa after structural relaxation, with properties calculated at the PBE level.

Values from the calculation:
Fermi-level density of states ... 1.4648 states/eV per atom
Energy ... -24.43 eV for the cell shown
Energy relative to the lowest polymorph listed for this composition ... 0.40 eV per formula unit
Energy of formation ... 257 meV/atom
Crystal system ... tetragonal

abc: 5.018 5.018 4.928
angles: 90.00 90.00 90.00
Positions (direct):
Pm1 0.000 0.500 0.000
Pm2 0.500 0.000 0.000
Y1 0.000 0.000 0.500
Pa1 0.500 0.500 0.500